# 1
Density functional theory data (PBE) for a relaxed structure of Y2ZrPt.

Calculated values
- Crystal system: orthorhombic
- D(E_F): 4.700 states/eV per cell
- Space group: Amm2 (38)
- Energy relative to the elements: -0.520 eV per atom
- E above lowest polymorph: 0.119 eV/f.u.
- Volume: 26.30 Å³ per atom

a b c (Å): 3.6746 6.4150 6.4150
angles (deg): 44.09 90.00 90.00
Atoms (fractional coordinates):
Y  0.0000  0.0000  0.0000
Y  0.5000  0.3074  0.3074
Zr  0.0000  0.7051  0.7051
Pt  0.5000  0.5461  0.5461

=====

# 2
Density functional theory data (PBE) for a relaxed structure of YZr2Pt.

Calculated values
- Crystal system: cubic
- D(E_F): 5.262 states/eV per cell
- Space group: Fm-3m (225)
- Energy relative to the elements: -0.247 eV per atom
- E above lowest polymorph: 1.099 eV/f.u.
- Volume: 20.90 Å³ per atom

a b c (Å): 4.9082 4.9082 4.9082
angles (deg): 60.00 60.00 60.00
Atoms (fractional coordinates):
Y  0.0000  0.0000  0.0000
Zr  0.2500  0.2500  0.2500
Zr  0.7500  0.7500  0.7500
Pt  0.5000  0.5000  0.5000

=====

# 3
Density functional theory data (PBE) for a relaxed structure of YZr2Pt2.

Calculated values
- Crystal system: tetragonal
- D(E_F): 3.730 states/eV per cell
- Space group: I4/mmm (139)
- Energy relative to the elements: -0.857 eV per atom
- E above lowest polymorph: 0.040 eV/f.u.
- Volume: 23.07 Å³ per atom

a b c (Å): 6.3141 6.3141 6.3141
angles (deg): 137.07 137.07 62.32
Atoms (fractional coordinates):
Y  0.0000  0.0000  0.0000
Zr  0.2500  0.7500  0.5000
Zr  0.7500  0.2500  0.5000
Pt  0.3790  0.3790  0.0000
Pt  0.6210  0.6210  0.0000